La2BePd2 after structural relaxation, computed with PBE-GGA.

Lattice parameters (Å, degrees): 7.408 7.408 4.185 90.00 90.00 90.00
Fractional positions:
La 0.176 0.324 0.000
La 0.324 0.824 0.000
La 0.676 0.176 0.000
La 0.824 0.676 0.000
Be 0.000 0.000 0.500
Be 0.500 0.500 0.500
Pd 0.136 0.636 0.500
Pd 0.364 0.136 0.500
Pd 0.636 0.864 0.500
Pd 0.864 0.364 0.500

Summary:
* E: -5.2512 eV per atom
* crystal system: tetragonal
* magnetization: 0.00 Bohr magnetons per cell
* energy relative to the elements: -0.458 eV/atom
* E above lowest polymorph: 0.0 meV per atom